Record 1
Compound: BeSiIO2
Source: the Alexandria database
Functional: PBE
Structure: relaxed

Cell lengths 3.452, 3.452, 6.836 Å; angles 90.00, 90.00, 90.00 degrees
Each line ends with the local moment (μB).
Atoms (fractional coordinates):
Si1 0.000 0.000 0.000  0.00
O1 0.000 0.500 0.000  0.00
O2 0.500 0.000 0.000  0.00
Be1 0.500 0.500 0.500  0.07
I1 0.000 0.000 0.500  0.01

Properties
Mass density   4.0 g/cm³
Space-group type   P4/mmm
V   16.29 A^3/atom
N(E_F)   1.509 states/eV/cell
E_form (uncorrected)   -0.65 eV per atom
Raw total energy   -4.77 eV/atom
ΔE to the lowest computed polymorph   0.0 meV per atom
Crystal system   tetragonal

***

Record 2
Compound: PrSm3Tm7
Source: the Alexandria database
Functional: PBE
Structure: relaxed

Cell lengths 5.489, 9.936, 8.850 Å; angles 105.54, 128.32, 90.02 degrees
Atoms (fractional coordinates):
Tm1 0.500 0.000 0.500
Tm2 0.854 0.712 0.354
Tm3 0.678 0.359 0.178
Tm4 0.146 0.288 0.646
Tm5 0.080 0.169 0.080
Tm6 0.322 0.641 0.822
Tm7 0.920 0.831 0.920
Sm1 0.000 0.500 0.000
Sm2 0.282 0.998 0.783
Sm3 0.718 0.002 0.217
Pr1 0.500 0.500 0.500

Properties
Mass density   8.3 g/cm³
Space-group type   P2/m
Energy of formation from the pure elements   157 meV per atom
V   32.35 A^3/atom
N(E_F)   17.799 states/eV/cell
Raw total energy   -4.41 eV/atom
ΔE to the lowest computed polymorph   0.0 meV per atom
Crystal system   monoclinic

***

Record 3
Compound: Na2TiAuO4
Source: the Alexandria database
Functional: PBE
Structure: relaxed

Cell lengths 5.270, 5.270, 5.270 Å; angles 106.23, 111.11, 111.11 degrees
Each line ends with the local moment (μB).
Atoms (fractional coordinates):
Na1 0.500 0.750 0.250  0.00
Na2 0.000 0.000 0.000  0.00
O1 0.519 0.252 0.406  0.06
O2 0.154 0.267 0.748  0.06
O3 0.846 0.594 0.113  0.06
O4 0.481 0.887 0.733  0.06
Au1 0.000 0.500 0.500  0.28
Ti1 0.500 0.250 0.750  0.04

Properties
Mass density   5.2 g/cm³
Space-group type   I-4
V   14.05 A^3/atom
N(E_F)   2.426 states/eV/cell
E_form (uncorrected)   -1.69 eV per atom
Raw total energy   -5.90 eV/atom
Crystal system   tetragonal

***

Record 4
Compound: SrIn2HgBr8
Source: the Alexandria database
Functional: PBE
Structure: relaxed

Cell lengths 7.304, 7.304, 11.549 Å; angles 71.57, 71.57, 60.00 degrees
Atoms (fractional coordinates):
Br1 0.402 0.706 0.835
Br2 0.829 0.829 0.514
Br3 0.706 0.058 0.835
Br4 0.058 0.402 0.835
Br5 0.294 0.942 0.165
Br6 0.942 0.598 0.165
Br7 0.598 0.294 0.165
Br8 0.171 0.171 0.486
Hg1 0.500 0.500 0.500
Sr1 0.000 0.000 0.000
In1 0.752 0.752 0.744
In2 0.248 0.248 0.256

Properties
Mass density   3.9 g/cm³
Space-group type   R-3
V   41.39 A^3/atom
N(E_F)   0.000 states/eV/cell
E_form (uncorrected)   -1.03 eV per atom
Raw total energy   -2.77 eV/atom
Crystal system   trigonal

***

Record 5
Compound: Pm4BCl2O
Source: the Alexandria database
Functional: PBE
Structure: relaxed

Cell lengths 3.804, 6.419, 7.414 Å; angles 107.79, 90.00, 90.00 degrees
Atoms (fractional coordinates):
Pm1 0.500 0.772 0.809
Pm2 0.500 0.228 0.191
Pm3 0.000 0.258 0.805
Pm4 0.000 0.742 0.195
Cl1 0.500 0.000 0.500
Cl2 0.000 0.500 0.500
O1 0.000 0.000 0.000
B1 0.500 0.500 0.000

Properties
Mass density   6.5 g/cm³
Space-group type   P2/m
V   21.54 A^3/atom
N(E_F)   2.425 states/eV/cell
E_form (uncorrected)   -1.53 eV per atom
Raw total energy   -5.82 eV/atom
Crystal system   monoclinic

***

Record 6
Compound: Na4LiHg4
Source: the Alexandria database
Functional: PBE
Structure: relaxed

Cell lengths 5.989, 7.878, 5.989 Å; angles 67.66, 90.00, 112.34 degrees
Atoms (fractional coordinates):
Hg1 0.629 0.844 0.371
Hg2 0.785 0.156 0.629
Hg3 0.215 0.844 0.785
Hg4 0.371 0.156 0.215
Na1 0.600 0.647 0.952
Na2 0.400 0.353 0.600
Na3 0.048 0.647 0.400
Na4 0.952 0.353 0.048
Li1 0.000 0.000 0.000

Properties
Mass density   6.3 g/cm³
Space-group type   I-42m
Energy of formation from the pure elements   -172 meV per atom
V   26.48 A^3/atom
N(E_F)   4.210 states/eV/cell
Raw total energy   -1.11 eV/atom
Crystal system   tetragonal

***

Record 7
Compound: AcMg5Al2
Source: the Alexandria database
Functional: PBE
Structure: relaxed

Cell lengths 4.469, 7.150, 7.150 Å; angles 71.09, 71.79, 71.79 degrees
Atoms (fractional coordinates):
Al1 0.739 0.761 0.761
Al2 0.261 0.239 0.239
Mg1 0.348 0.470 0.834
Mg2 0.348 0.834 0.470
Mg3 0.000 0.500 0.500
Mg4 0.652 0.166 0.530
Mg5 0.652 0.530 0.166
Ac1 0.000 0.000 0.000

Properties
Mass density   3.3 g/cm³
Space-group type   Immm
Energy of formation from the pure elements   -121 meV per atom
V   24.95 A^3/atom
N(E_F)   2.074 states/eV/cell
Raw total energy   -2.57 eV/atom
Crystal system   orthorhombic

***

Record 8
Compound: W2Se
Source: the Alexandria database
Functional: PBE
Structure: relaxed

Cell lengths 7.416, 7.416, 4.554 Å; angles 90.00, 90.00, 156.56 degrees
Atoms (fractional coordinates):
W1 0.044 0.956 0.250
W2 0.710 0.290 0.250
W3 0.290 0.710 0.750
W4 0.956 0.044 0.750
Se1 0.373 0.627 0.250
Se2 0.627 0.373 0.750

Properties
Mass density   14.9 g/cm³
Space-group type   Cmcm
V   16.61 A^3/atom
N(E_F)   5.025 states/eV/cell
E_form (uncorrected)   0.64 eV per atom
Raw total energy   -9.16 eV/atom
ΔE to the lowest computed polymorph   580.7 meV per atom
Crystal system   orthorhombic

***

Record 9
Compound: Nb2HgPbBr
Source: the Alexandria database
Functional: PBE
Structure: relaxed

Cell lengths 5.427, 5.645, 5.427 Å; angles 90.00, 90.00, 90.00 degrees
Each line ends with the local moment (μB).
Atoms (fractional coordinates):
Pb1 0.000 0.500 0.000  0.00
Hg1 0.000 0.000 0.000  0.06
Nb1 0.000 0.000 0.500  2.31
Nb2 0.500 0.000 0.000  2.28
Br1 0.500 0.500 0.500  0.04

Properties
Mass density   6.7 g/cm³
Space-group type   P4/mmm
V   33.25 A^3/atom
N(E_F)   9.162 states/eV/cell
E_form (uncorrected)   1.54 eV per atom
Raw total energy   -3.62 eV/atom
Crystal system   tetragonal

***

Record 10
Compound: AcLaIr
Source: the Alexandria database
Functional: PBE
Structure: relaxed

Cell lengths 3.716, 3.716, 7.443 Å; angles 104.46, 104.46, 90.00 degrees
Atoms (fractional coordinates):
La1 0.285 0.285 0.571
Ir1 0.672 0.672 0.344
Ac1 0.043 0.043 0.086

Properties
Mass density   9.6 g/cm³
Space-group type   I4mm
Energy of formation from the pure elements   -407 meV per atom
V   32.05 A^3/atom
N(E_F)   2.874 states/eV/cell
Raw total energy   -6.37 eV/atom
ΔE to the lowest computed polymorph   200.0 meV per atom
Crystal system   tetragonal

***

Record 11
Compound: Cd2In3Sn
Source: the Alexandria database
Functional: PBE
Structure: relaxed

Cell lengths 3.356, 3.356, 13.766 Å; angles 90.00, 90.00, 90.00 degrees
Atoms (fractional coordinates):
Sn1 0.500 0.500 0.500
In1 0.000 0.000 0.000
In2 0.000 0.000 0.326
In3 0.000 0.000 0.674
Cd1 0.500 0.500 0.162
Cd2 0.500 0.500 0.838

Properties
Mass density   7.4 g/cm³
Space-group type   P4/mmm
Energy of formation from the pure elements   30 meV per atom
V   25.85 A^3/atom
N(E_F)   2.858 states/eV/cell
Raw total energy   -2.31 eV/atom
ΔE to the lowest computed polymorph   0.0 meV per atom
Crystal system   tetragonal

***

Record 12
Compound: Sr2YTa
Source: the Alexandria database
Functional: PBE
Structure: relaxed

Cell lengths 5.529, 5.529, 7.618 Å; angles 84.60, 84.60, 36.00 degrees
Atoms (fractional coordinates):
Ta1 0.503 0.503 0.442
Sr1 0.997 0.997 0.040
Sr2 0.764 0.764 0.710
Y1 0.236 0.236 0.309

Properties
Mass density   5.4 g/cm³
Space-group type   Cm
Energy of formation from the pure elements   718 meV per atom
V   34.06 A^3/atom
N(E_F)   6.639 states/eV/cell
Raw total energy   -4.70 eV/atom
ΔE to the lowest computed polymorph   166.8 meV per atom
Crystal system   monoclinic

***

Look up the V of the tenth one. 32.05 A^3/atom

***

Number 10 is which compound? AcLaIr

***

Number 1 is which compound? BeSiIO2

***

Look up the raw total energy of the fifth one. -5.82 eV/atom